Record 1
Density functional theory data (SCAN) for MgHgSe2 at its PBEsol-relaxed geometry.

Results
ΔE to the lowest computed polymorph ... 43 meV/atom
Energy ... -29.086 eV/atom
M_tot ... 0.0 μB per cell

abc: 4.1585 4.1585 22.4019
angles: 90.00 90.00 120.00
Space group R-3m (No. 166, hexagonal axes)
One atom of each set of equivalent atoms:
Mg  0.0000  0.0000  0.0000 x3
Hg  0.0000  0.0000  0.5000 x3
Se  0.0000  0.0000  0.3908 x6

Record 2
Density functional theory data (SCAN) for MgHgSe2 at its PBEsol-relaxed geometry.

Results
ΔE to the lowest computed polymorph ... 0 meV/atom
Energy ... -29.129 eV/atom
M_tot ... 0.0 μB per cell

abc: 6.0171 6.0171 12.1623
angles: 90.00 90.00 90.00
Space group I-42d (No. 122)
One atom of each set of equivalent atoms:
Mg  0.0000  0.0000  0.0000 x4
Hg  0.0000  0.0000  0.5000 x4
Se  0.2374  0.2500  0.1250 x8

Record 3
Density functional theory data (SCAN) for MgHgSe2 at its PBEsol-relaxed geometry.

Results
ΔE to the lowest computed polymorph ... 105 meV/atom
Density of states at the Fermi level ... 1.2 states/eV per cell
Energy ... -29.024 eV/atom
M_tot ... 0.0 μB per cell

abc: 3.9438 3.9438 5.6255
angles: 90.00 90.00 90.00
Space group P4/mmm (No. 123)
One atom of each set of equivalent atoms:
Mg  0.0000  0.0000  0.0000 x1
Hg  0.5000  0.5000  0.5000 x1
Se  0.0000  0.0000  0.5000 x1
Se  0.5000  0.5000  0.0000 x1

no.,ρ (g/cm3)
1,5.7
2,5.8
3,7.3